(1)
DFT (PBE) results for a relaxed structure of RbBi4S6.

## Properties
As for the energy above the most stable polymorph in this dataset: 0.0 meV/atom. Its symmetry is Cmcm (63). Its crystal system is orthorhombic.

Cell lengths 7.105, 7.105, 21.070 Å; angles 90.00, 90.00, 144.61 degrees
Positions (direct):
Rb 0.152 0.848 0.750
Rb 0.848 0.152 0.250
Bi 0.097 0.903 0.134
Bi 0.097 0.903 0.366
Bi 0.366 0.634 0.041
Bi 0.366 0.634 0.459
Bi 0.634 0.366 0.541
Bi 0.634 0.366 0.959
Bi 0.903 0.097 0.634
Bi 0.903 0.097 0.866
S 0.000 0.000 0.000
S 0.000 0.000 0.500
S 0.169 0.831 0.250
S 0.257 0.743 0.581
S 0.257 0.743 0.919
S 0.474 0.526 0.152
S 0.474 0.526 0.348
S 0.526 0.474 0.652
S 0.526 0.474 0.848
S 0.743 0.257 0.081
S 0.743 0.257 0.419
S 0.831 0.169 0.750

(2)
DFT (PBE) results for a relaxed structure of Rb3Bi3SbS8.

## Properties
Its symmetry is R-3m (166). Its crystal system is trigonal.

Cell lengths 9.235, 9.235, 9.235 Å; angles 52.59, 52.59, 52.59 degrees
Positions (direct):
Rb 0.000 0.500 0.500
Rb 0.500 0.000 0.500
Rb 0.500 0.500 0.000
Bi 0.000 0.000 0.500
Bi 0.000 0.500 0.000
Bi 0.500 0.000 0.000
Sb 0.500 0.500 0.500
S 0.233 0.233 0.233
S 0.249 0.721 0.721
S 0.279 0.279 0.751
S 0.279 0.751 0.279
S 0.721 0.249 0.721
S 0.721 0.721 0.249
S 0.751 0.279 0.279
S 0.767 0.767 0.767

(3)
DFT (PBE) results for a relaxed structure of Rb2Sc2Bi2S.

## Properties
Its symmetry is I4/mmm (139). Its crystal system is tetragonal.

Cell lengths 10.131, 10.131, 10.131 Å; angles 151.43, 151.43, 40.84 degrees
Positions (direct):
Rb 0.178 0.178 0.000
Rb 0.822 0.822 0.000
Sc 0.000 0.500 0.500
Sc 0.500 0.000 0.500
Bi 0.395 0.395 0.000
Bi 0.605 0.605 0.000
S 0.000 0.000 0.000

(4)
DFT (PBE) results for a relaxed structure of RbBiSeS.

## Properties
Its symmetry is R3m (160). Its crystal system is trigonal.

Cell lengths 8.399, 8.399, 8.399 Å; angles 29.28, 29.28, 29.28 degrees
Positions (direct):
Rb 0.000 0.000 0.000
Bi 0.162 0.162 0.162
Se 0.565 0.565 0.565
S 0.765 0.765 0.765

(5)
DFT (PBE) results for a relaxed structure of Rb2SmBiS4.

## Properties
Its symmetry is P2/m (10). Its crystal system is monoclinic.

Cell lengths 7.260, 4.184, 8.069 Å; angles 90.00, 107.34, 90.00 degrees
Positions (direct):
Rb 0.000 0.000 0.000
Rb 0.500 0.500 0.000
Sm 0.000 0.500 0.500
Bi 0.500 0.000 0.500
S 0.229 0.000 0.696
S 0.264 0.500 0.301
S 0.736 0.500 0.699
S 0.771 0.000 0.304

(6)
DFT (PBE) results for a relaxed structure of Rb3SmBi2S6.

## Properties
Its symmetry is C2/m (12). Its crystal system is monoclinic.

Cell lengths 7.261, 7.261, 8.075 Å; angles 98.61, 98.61, 120.00 degrees
Positions (direct):
Rb 0.000 0.000 0.000
Rb 0.331 0.669 0.000
Rb 0.669 0.331 0.000
Sm 0.500 0.500 0.500
Bi 0.166 0.834 0.500
Bi 0.834 0.166 0.500
S 0.104 0.434 0.302
S 0.236 0.236 0.699
S 0.434 0.104 0.302
S 0.566 0.896 0.698
S 0.764 0.764 0.301
S 0.896 0.566 0.698

(7)
DFT (PBE) results for a relaxed structure of Rb4Sm3BiS8.

## Properties
Its symmetry is R-3m (166). Its crystal system is trigonal.

Cell lengths 9.088, 9.088, 9.088 Å; angles 54.78, 54.78, 54.78 degrees
Positions (direct):
Rb 0.000 0.000 0.000
Rb 0.000 0.500 0.500
Rb 0.500 0.000 0.500
Rb 0.500 0.500 0.000
Sm 0.000 0.000 0.500
Sm 0.000 0.500 0.000
Sm 0.500 0.000 0.000
Bi 0.500 0.500 0.500
S 0.230 0.734 0.734
S 0.232 0.232 0.232
S 0.266 0.266 0.770
S 0.266 0.770 0.266
S 0.734 0.230 0.734
S 0.734 0.734 0.230
S 0.768 0.768 0.768
S 0.770 0.266 0.266

(8)
DFT (PBE) results for a relaxed structure of Rb2SnBi2S6.

## Properties
Its symmetry is C2/m (12). Its crystal system is monoclinic.

Cell lengths 6.954, 6.954, 8.314 Å; angles 98.56, 98.56, 119.38 degrees
Positions (direct):
Rb 0.173 0.827 0.000
Rb 0.827 0.173 0.000
Sn 0.000 0.000 0.500
Bi 0.332 0.668 0.500
Bi 0.668 0.332 0.500
S 0.066 0.377 0.691
S 0.234 0.234 0.311
S 0.377 0.066 0.691
S 0.623 0.934 0.309
S 0.766 0.766 0.689
S 0.934 0.623 0.309

(9)
DFT (PBE) results for a relaxed structure of Rb2SnBiS5.

## Properties
Its symmetry is Cmc2_1 (36). Its crystal system is orthorhombic.

Cell lengths 10.379, 10.379, 14.537 Å; angles 90.00, 90.00, 158.20 degrees
Positions (direct):
Rb 0.115 0.885 0.500
Rb 0.130 0.870 0.138
Rb 0.870 0.130 0.638
Rb 0.885 0.115 0.000
Sn 0.439 0.561 0.253
Sn 0.561 0.439 0.753
Bi 0.218 0.782 0.859
Bi 0.782 0.218 0.359
S 0.042 0.958 0.856
S 0.282 0.718 0.486
S 0.321 0.679 0.218
S 0.339 0.661 0.822
S 0.496 0.504 0.114
S 0.504 0.496 0.614
S 0.661 0.339 0.322
S 0.679 0.321 0.718
S 0.718 0.282 0.986
S 0.958 0.042 0.356

(10)
DFT (PBE) results for a relaxed structure of RbSnBiS3.

## Properties
Its symmetry is P2_1/m (11). Its crystal system is monoclinic.

Cell lengths 8.365, 4.102, 12.142 Å; angles 90.00, 109.29, 90.00 degrees
Positions (direct):
Rb 0.037 0.250 0.230
Rb 0.963 0.750 0.770
Sn 0.401 0.250 0.568
Sn 0.599 0.750 0.432
Bi 0.476 0.750 0.854
Bi 0.524 0.250 0.146
S 0.240 0.750 0.622
S 0.289 0.250 0.916
S 0.356 0.750 0.236
S 0.644 0.250 0.764
S 0.711 0.750 0.084
S 0.760 0.250 0.378

(11)
DFT (PBE) results for a relaxed structure of Rb4SnBi3S8.

## Properties
Its symmetry is R-3m (166). Its crystal system is trigonal.

Cell lengths 9.111, 9.111, 9.111 Å; angles 54.42, 54.42, 54.42 degrees
Positions (direct):
Rb 0.000 0.000 0.000
Rb 0.000 0.500 0.500
Rb 0.500 0.000 0.500
Rb 0.500 0.500 0.000
Sn 0.500 0.500 0.500
Bi 0.000 0.000 0.500
Bi 0.000 0.500 0.000
Bi 0.500 0.000 0.000
S 0.234 0.234 0.234
S 0.239 0.729 0.729
S 0.271 0.271 0.761
S 0.271 0.761 0.271
S 0.729 0.239 0.729
S 0.729 0.729 0.239
S 0.761 0.271 0.271
S 0.766 0.766 0.766

(12)
DFT (PBE) results for a relaxed structure of Rb2SrBiS4.

## Properties
Its symmetry is Imma (74). Its crystal system is orthorhombic.

Cell lengths 8.826, 8.826, 8.826 Å; angles 122.04, 117.94, 90.05 degrees
Positions (direct):
Rb 0.000 0.000 0.000
Rb 0.500 0.000 0.000
Rb 0.500 0.000 0.500
Rb 0.500 0.500 0.500
Sr 0.000 0.500 0.500
Sr 0.500 0.500 0.000
Bi 0.000 0.000 0.500
Bi 0.000 0.500 0.000
S 0.201 0.741 0.460
S 0.218 0.259 0.960
S 0.225 0.247 0.522
S 0.225 0.703 0.978
S 0.775 0.297 0.022
S 0.775 0.753 0.478
S 0.782 0.741 0.040
S 0.799 0.259 0.540

(13)
DFT (PBE) results for a relaxed structure of Rb3TaBi3S8.

## Properties
Its symmetry is P-1 (2). Its crystal system is triclinic.

Cell lengths 8.148, 8.158, 9.101 Å; angles 63.53, 63.50, 60.19 degrees
Positions (direct):
Rb 0.000 0.000 0.000
Rb 0.000 0.500 0.000
Rb 0.500 0.000 0.000
Ta 0.000 0.000 0.500
Bi 0.000 0.500 0.500
Bi 0.500 0.000 0.500
Bi 0.500 0.500 0.500
S 0.208 0.208 0.321
S 0.208 0.762 0.321
S 0.238 0.792 0.679
S 0.266 0.266 0.702
S 0.734 0.734 0.298
S 0.762 0.208 0.321
S 0.792 0.238 0.679
S 0.792 0.792 0.679

(14)
DFT (PBE) results for a relaxed structure of Rb3TbBi2S6.

## Properties
Its symmetry is C2/m (12). Its crystal system is monoclinic.

Cell lengths 7.221, 7.221, 8.062 Å; angles 98.58, 98.58, 119.99 degrees
Positions (direct):
Rb 0.000 0.000 0.000
Rb 0.331 0.669 0.000
Rb 0.669 0.331 0.000
Tb 0.500 0.500 0.500
Bi 0.166 0.834 0.500
Bi 0.834 0.166 0.500
S 0.108 0.434 0.303
S 0.240 0.240 0.698
S 0.434 0.108 0.303
S 0.566 0.892 0.697
S 0.760 0.760 0.302
S 0.892 0.566 0.697

(15)
DFT (PBE) results for a relaxed structure of Rb4Tb3BiS8.

## Properties
Its symmetry is R-3m (166). Its crystal system is trigonal.

Cell lengths 9.044, 9.044, 9.044 Å; angles 54.32, 54.32, 54.32 degrees
Positions (direct):
Rb 0.000 0.000 0.000
Rb 0.000 0.500 0.500
Rb 0.500 0.000 0.500
Rb 0.500 0.500 0.000
Tb 0.000 0.000 0.500
Tb 0.000 0.500 0.000
Tb 0.500 0.000 0.000
Bi 0.500 0.500 0.500
S 0.225 0.735 0.735
S 0.231 0.231 0.231
S 0.265 0.265 0.775
S 0.265 0.775 0.265
S 0.735 0.225 0.735
S 0.735 0.735 0.225
S 0.769 0.769 0.769
S 0.775 0.265 0.265

(16)
DFT (PBE) results for a relaxed structure of Rb2TbBiS4.

## Properties
Its symmetry is P2/m (10). Its crystal system is monoclinic.

Cell lengths 7.209, 4.143, 8.049 Å; angles 90.00, 107.17, 90.00 degrees
Positions (direct):
Rb 0.000 0.000 0.000
Rb 0.500 0.500 0.000
Tb 0.000 0.500 0.500
Bi 0.500 0.000 0.500
S 0.225 0.000 0.694
S 0.260 0.500 0.302
S 0.740 0.500 0.698
S 0.775 0.000 0.306

(17)
DFT (PBE) results for a relaxed structure of Rb2BiTeS4.

## Properties
Its symmetry is C2/c (15). Its crystal system is monoclinic.

Cell lengths 8.529, 8.529, 8.516 Å; angles 117.26, 117.26, 89.91 degrees
Positions (direct):
Rb 0.000 0.000 0.000
Rb 0.000 0.000 0.500
Rb 0.000 0.500 0.000
Rb 0.500 0.000 0.500
Bi 0.500 0.500 0.000
Bi 0.500 0.500 0.500
Te 0.000 0.500 0.500
Te 0.500 0.000 0.000
S 0.234 0.705 0.498
S 0.263 0.310 0.553
S 0.295 0.766 0.002
S 0.310 0.263 0.053
S 0.690 0.737 0.947
S 0.705 0.234 0.998
S 0.737 0.690 0.447
S 0.766 0.295 0.502

(18)
DFT (PBE) results for a relaxed structure of Rb2TiBiS4.

## Properties
Its symmetry is Fddd (70). Its crystal system is orthorhombic.

Cell lengths 13.582, 12.079, 7.938 Å; angles 82.68, 61.89, 35.43 degrees
Positions (direct):
Rb 0.054 0.054 0.696
Rb 0.304 0.304 0.946
Rb 0.696 0.696 0.054
Rb 0.946 0.946 0.304
Ti 0.375 0.375 0.375
Ti 0.625 0.625 0.625
Bi 0.125 0.125 0.125
Bi 0.875 0.875 0.875
S 0.028 0.627 0.517
S 0.327 0.517 0.627
S 0.373 0.972 0.673
S 0.483 0.673 0.972
S 0.517 0.327 0.028
S 0.627 0.028 0.327
S 0.673 0.483 0.373
S 0.972 0.373 0.483

(19)
DFT (PBE) results for a relaxed structure of RbTiBiS4.

## Properties
Its symmetry is P2_1/m (11). Its crystal system is monoclinic.

Cell lengths 6.729, 7.051, 9.143 Å; angles 90.00, 107.84, 90.00 degrees
Positions (direct):
Rb 0.234 0.250 0.437
Rb 0.766 0.750 0.563
Ti 0.266 0.750 0.167
Ti 0.734 0.250 0.833
Bi 0.277 0.250 0.945
Bi 0.723 0.750 0.055
S 0.052 0.750 0.926
S 0.065 0.750 0.325
S 0.497 0.502 0.201
S 0.497 0.998 0.201
S 0.503 0.002 0.799
S 0.503 0.498 0.799
S 0.935 0.250 0.675
S 0.948 0.250 0.074

| no. | uncorrected energy (eV for the cell shown) | formation energy from raw total energies (eV per atom) |
| --- | --- | --- |
| 1 | -92.8 | -0.4671 |
| 2 | -61.4 | -0.6473 |
| 3 | -33.1 | -0.9453 |
| 4 | -15.5 | -0.7596 |
| 5 | -37.5 | -1.3095 |
| 6 | -53.7 | -1.1331 |
| 7 | -80.1 | -1.5736 |
| 8 | -46.0 | -0.6808 |
| 9 | -71.8 | -0.6043 |
| 10 | -50.3 | -0.6513 |
| 11 | -64.5 | -0.7477 |
| 12 | -64.3 | -1.0184 |
| 13 | -71.3 | -0.7902 |
| 14 | -53.7 | -1.1387 |
| 15 | -80.0 | -1.5864 |
| 16 | -37.5 | -1.3179 |
| 17 | -59.8 | -0.5525 |
| 18 | -74.6 | -0.8858 |
| 19 | -72.0 | -0.9662 |